Record 1
Compound: Ba2Al2Sn5
Source: Alexandria
Functional: PBE-GGA
Structure: relaxed

The calculation puts the size of the total moment at 0.0 μB/f.u. As for the total energy: -3.798 eV/atom. As for the crystal system: tetragonal.

Lattice parameters (Å, degrees): 4.9305 4.9305 10.8389 90.00 90.00 90.00
Fractional positions:
Ba: 0.0000 0.0000 0.0000
Ba: 0.0000 0.0000 0.5000
Al: 0.5000 0.5000 0.1204
Al: 0.5000 0.5000 0.8796
Sn: 0.0000 0.5000 0.2629
Sn: 0.0000 0.5000 0.7371
Sn: 0.5000 0.0000 0.2629
Sn: 0.5000 0.0000 0.7371
Sn: 0.5000 0.5000 0.5000


Record 2
Compound: MnCrNi
Source: Alexandria
Functional: PBE-GGA
Structure: relaxed

The calculation puts the size of the total moment at 1.3 μB/f.u. As for the total energy: -7.919 eV/atom. As for the crystal system: orthorhombic.

Lattice parameters (Å, degrees): 2.4154 4.1159 7.0337 90.00 90.00 90.00
Fractional positions:
Mn: 0.2500 0.2500 0.0793
Mn: 0.7500 0.7500 0.9207
Cr: 0.2500 0.7500 0.2470
Cr: 0.7500 0.2500 0.7530
Ni: 0.2500 0.2500 0.4413
Ni: 0.7500 0.7500 0.5587


Record 3
Compound: CdTc2Hg
Source: Alexandria
Functional: PBE-GGA
Structure: relaxed

The calculation puts the size of the total moment at 0.0 μB/f.u. As for the total energy: -4.675 eV/atom. As for the crystal system: cubic.

Lattice parameters (Å, degrees): 4.5959 4.5959 4.5959 60.00 60.00 60.00
Fractional positions:
Cd: 0.0000 0.0000 0.0000
Tc: 0.2500 0.2500 0.2500
Tc: 0.7500 0.7500 0.7500
Hg: 0.5000 0.5000 0.5000


Record 4
Compound: Ac3HgIrBr
Source: Alexandria
Functional: PBE-GGA
Structure: relaxed

The calculation puts the size of the total moment at 0.0 μB/f.u. As for the total energy: -4.614 eV/atom. The energy relative to the elements, uncorrected is -436 kJ/mol of formula units. As for the crystal system: monoclinic.

Lattice parameters (Å, degrees): 9.4309 4.4483 10.1659 90.00 95.78 90.00
Fractional positions:
Ac: 0.0588 0.2500 0.3431
Ac: 0.1998 0.2500 0.9377
Ac: 0.3513 0.7500 0.5955
Ac: 0.6487 0.2500 0.4045
Ac: 0.8002 0.7500 0.0623
Ac: 0.9412 0.7500 0.6569
Hg: 0.2987 0.7500 0.2389
Hg: 0.7013 0.2500 0.7611
Ir: 0.1521 0.2500 0.6399
Ir: 0.8479 0.7500 0.3601
Br: 0.4414 0.7500 0.8882
Br: 0.5586 0.2500 0.1118


Record 5
Compound: Sm3Y7
Source: Alexandria
Functional: PBE-GGA
Structure: relaxed

The calculation puts the size of the total moment at 0.0 μB/f.u. As for the total energy: -5.894 eV/atom. As for the crystal system: monoclinic.

Lattice parameters (Å, degrees): 9.5350 9.5350 7.1021 111.79 111.79 33.47
Fractional positions:
Sm: 0.0000 0.0000 0.0000
Sm: 0.1987 0.1987 0.6992
Sm: 0.8013 0.8013 0.3008
Y: 0.0000 0.0000 0.5000
Y: 0.2008 0.2008 0.2015
Y: 0.3918 0.3918 0.1421
Y: 0.3918 0.3918 0.6407
Y: 0.6082 0.6082 0.3593
Y: 0.6082 0.6082 0.8579
Y: 0.7992 0.7992 0.7985


Record 6
Compound: TmFe2Pd9
Source: Alexandria
Functional: PBE-GGA
Structure: relaxed

The calculation puts the size of the total moment at 8.6 μB/f.u. As for the total energy: -6.031 eV/atom. As for the crystal system: tetragonal.

Lattice parameters (Å, degrees): 3.9734 3.9734 11.8136 90.00 90.00 90.00
Fractional positions:
Tm: 0.0000 0.0000 0.0000
Fe: 0.0000 0.0000 0.3388
Fe: 0.0000 0.0000 0.6612
Pd: 0.0000 0.5000 0.1800
Pd: 0.0000 0.5000 0.5000
Pd: 0.0000 0.5000 0.8200
Pd: 0.5000 0.0000 0.1800
Pd: 0.5000 0.0000 0.5000
Pd: 0.5000 0.0000 0.8200
Pd: 0.5000 0.5000 0.0000
Pd: 0.5000 0.5000 0.3396
Pd: 0.5000 0.5000 0.6604